This record from the Alexandria database describes a geometry-optimized ZnAsPbSe2 structure. The functional is PBE.

abc: 5.126 5.126 4.732
angles: 90.00 90.00 90.00
Sites, in units of the cell vectors:
1 Se 0.000 0.500 0.000
2 Se 0.500 0.000 0.000
3 Zn 0.000 0.000 0.000
4 Pb 0.500 0.500 0.500
5 As 0.000 0.000 0.500

Magnetic moment: 0.00 μB/f.u.
ΔE to the lowest computed polymorph: 0.00 kJ per mole of atoms
Energy relative to the elements, uncorrected: 0.181 eV/atom


This record from the Alexandria database describes a geometry-optimized NaAsAuS4 structure. The functional is PBE.

abc: 7.084 7.084 7.571
angles: 90.00 90.00 114.95
Sites, in units of the cell vectors:
1 S 0.256 0.744 0.486
2 S 0.808 0.764 0.250
3 S 0.764 0.808 0.750
4 S 0.236 0.192 0.250
5 S 0.256 0.744 0.014
6 S 0.192 0.236 0.750
7 S 0.744 0.256 0.986
8 S 0.744 0.256 0.514
9 Au 0.140 0.860 0.750
10 Au 0.860 0.140 0.250
11 Na 0.500 0.500 0.000
12 Na 0.500 0.500 0.500
13 As 0.852 0.148 0.750
14 As 0.148 0.852 0.250

Magnetic moment: 0.00 μB/f.u.
Energy relative to the elements, uncorrected: -0.128 eV/atom


This record from the Alexandria database describes a geometry-optimized IrBr2Cl structure. The functional is PBE.

abc: 6.883 6.884 3.662
angles: 103.60 76.40 137.34
Sites, in units of the cell vectors:
1 Cl 0.631 0.369 0.105
2 Br 0.893 0.107 0.873
3 Br 0.218 0.782 0.529
4 Ir 0.758 0.242 0.493

Magnetic moment: 0.00 μB/f.u.
ΔE to the lowest computed polymorph: 0.39 kJ per mole of atoms
Energy relative to the elements, uncorrected: -0.179 eV/atom